Record 1
A plane-wave DFT calculation with SCAN was carried out for a crystal of YHg2 relaxed with PBEsol.

Output
- ΔE_f: -1.850 eV/f.u.
- DOS(E_F): 0.418 states/eV per atom
- Total energy: -55.34 eV/atom

abc: 6.2489 5.0061 8.8491
angles: 90.00 90.00 90.00
Space group Pnma (No. 62)
Unique sites:
Y: 0.2042 0.2500 0.0846 [4 per cell]
Hg: 0.0121 0.2500 0.7452 [4 per cell]
Hg: 0.2008 0.2500 0.4179 [4 per cell]

***

Record 2
A plane-wave DFT calculation with SCAN was carried out for a crystal of YHg2 relaxed with PBEsol.

Output
- ΔE_f: -1.622 eV/f.u.
- DOS(E_F): 0.504 states/eV per atom
- Total energy: -55.27 eV/atom

abc: 3.5525 3.5525 11.0243
angles: 90.00 90.00 90.00
Space group I4/mmm (No. 139)
Unique sites:
Y: 0.0000 0.0000 0.0000 [2 per cell]
Hg: 0.0000 0.0000 0.3297 [4 per cell]

***

Record 3
A plane-wave DFT calculation with SCAN was carried out for a crystal of YHg2 relaxed with PBEsol.

Output
- ΔE_f: -1.823 eV/f.u.
- DOS(E_F): 0.334 states/eV per atom
- Total energy: -55.33 eV/atom

abc: 3.7998 14.4029 5.1173
angles: 90.00 90.00 90.00
Space group Cmcm (No. 63)
Unique sites:
Y: 0.0000 0.1057 0.2500 [4 per cell]
Hg: 0.0000 0.2280 0.7500 [4 per cell]
Hg: 0.0000 0.4367 0.2500 [4 per cell]

***

Record 4
A plane-wave DFT calculation with SCAN was carried out for a crystal of Y3Hg5 relaxed with PBEsol.

Output
- ΔE_f: -5.247 eV/f.u.
- DOS(E_F): 0.484 states/eV per atom
- Total energy: -53.70 eV/atom

abc: 7.5642 10.0283 4.9855
angles: 90.00 90.00 90.00
Space group Cmmm (No. 65)
Unique sites:
Y: 0.0000 0.0000 0.0000 [2 per cell]
Y: 0.0000 0.2838 0.5000 [4 per cell]
Hg: 0.0000 0.5000 0.0000 [2 per cell]
Hg: 0.2188 0.0000 0.5000 [4 per cell]
Hg: 0.2500 0.2500 0.0000 [4 per cell]

***

Record 5
A plane-wave DFT calculation with SCAN was carried out for a crystal of YHg2 relaxed with PBEsol.

Output
- ΔE_f: -1.861 eV/f.u.
- DOS(E_F): 0.437 states/eV per atom
- Total energy: -55.35 eV/atom

abc: 4.8424 4.8424 3.3912
angles: 90.00 90.00 120.00
Space group P6/mmm (No. 191)
Unique sites:
Y: 0.0000 0.0000 0.0000 [1 per cell]
Hg: 0.3333 0.6667 0.5000 [2 per cell]

***

Record 6
A plane-wave DFT calculation with SCAN was carried out for a crystal of YHg5 relaxed with PBEsol.

Output
- ΔE_f: -0.677 eV/f.u.
- DOS(E_F): 0.433 states/eV per atom
- Total energy: -61.56 eV/atom

abc: 8.2623 8.2623 8.2623
angles: 90.00 90.00 90.00
Space group F-43m (No. 216)
Unique sites:
Y: 0.0000 0.0000 0.0000 [4 per cell]
Hg: 0.1251 0.1251 0.6251 [16 per cell]
Hg: 0.2500 0.2500 0.2500 [4 per cell]

***

Record 7
A plane-wave DFT calculation with SCAN was carried out for a crystal of Y2Hg relaxed with PBEsol.

Output
- ΔE_f: -1.922 eV/f.u.
- DOS(E_F): 0.199 states/eV per atom
- Total energy: -41.92 eV/atom

abc: 6.9625 5.0387 9.0847
angles: 90.00 90.00 90.00
Space group Pnma (No. 62)
Unique sites:
Y: 0.0144 0.2500 0.1938 [4 per cell]
Y: 0.1709 0.2500 0.5770 [4 per cell]
Hg: 0.2387 0.2500 0.9008 [4 per cell]

***

Record 8
A plane-wave DFT calculation with SCAN was carried out for a crystal of YHg2 relaxed with PBEsol.

Output
- ΔE_f: -1.342 eV/f.u.
- DOS(E_F): 0.611 states/eV per atom
- Total energy: -55.17 eV/atom

abc: 3.5554 3.5554 23.7231
angles: 90.00 90.00 90.00
Space group I4_1/amd (No. 141, origin choice 2)
Unique sites:
Y: 0.0000 0.2500 0.3750 [4 per cell]
Hg: 0.0000 0.2500 0.7971 [8 per cell]

***

Record 9
A plane-wave DFT calculation with SCAN was carried out for a crystal of YHg5 relaxed with PBEsol.

Output
- ΔE_f: -1.962 eV/f.u.
- DOS(E_F): 0.440 states/eV per atom
- Total energy: -61.77 eV/atom

abc: 4.3790 13.1907 4.7054
angles: 90.00 90.00 90.00
Space group Cmmm (No. 65)
Unique sites:
Y: 0.0000 0.0000 0.0000 [2 per cell]
Hg: 0.0000 0.1642 0.5000 [4 per cell]
Hg: 0.0000 0.3302 0.0000 [4 per cell]
Hg: 0.0000 0.5000 0.5000 [2 per cell]

***

Record 10
A plane-wave DFT calculation with SCAN was carried out for a crystal of YHg2 relaxed with PBEsol.

Output
- ΔE_f: -1.124 eV/f.u.
- DOS(E_F): 0.629 states/eV per atom
- Total energy: -55.10 eV/atom

abc: 8.2443 8.2443 8.2443
angles: 90.00 90.00 90.00
Space group Fd-3m (No. 227, origin choice 2)
Unique sites:
Y: 0.1250 0.1250 0.1250 [8 per cell]
Hg: 0.0000 0.0000 0.5000 [16 per cell]

***

Record 11
A plane-wave DFT calculation with SCAN was carried out for a crystal of Y2ZnHg relaxed with PBEsol.

Output
- ΔE_f: -2.478 eV/f.u.
- E above lowest polymorph: 5.8 meV/atom
- DOS(E_F): 0.617 states/eV per atom
- Total energy: -34.96 eV/atom

abc: 3.6298 5.0667 5.0673
angles: 90.00 90.00 90.00
Space group Pmm2 (No. 25)
Unique sites:
Y: 0.0000 0.0000 0.0000 [1 per cell]
Y: 0.0000 0.5000 0.4989 [1 per cell]
Zn: 0.5000 0.0000 0.5003 [1 per cell]
Hg: 0.5000 0.5000 0.9984 [1 per cell]

***

Record 12
A plane-wave DFT calculation with SCAN was carried out for a crystal of YZnHg2 relaxed with PBEsol.

Output
- ΔE_f: -1.445 eV/f.u.
- DOS(E_F): 0.307 states/eV per atom
- Total energy: -44.78 eV/atom

abc: 6.9077 6.9077 6.9077
angles: 90.00 90.00 90.00
Space group F-43m (No. 216)
Unique sites:
Y: 0.0000 0.0000 0.0000 [4 per cell]
Zn: 0.2500 0.2500 0.2500 [4 per cell]
Hg: 0.0000 0.0000 0.5000 [4 per cell]
Hg: 0.2500 0.2500 0.7500 [4 per cell]